ZnPb | PBE-GGA | optimized geometry

Unit cell a=4.5735 b=3.8297 c=5.9504 alpha=90.00 beta=111.13 gamma=90.00
Last column: nearest neighbours and their distance in Å.
Space group P2_1/m (No. 11)
Unique sites:
Zn 0.0848 0.2500 0.1587 [2 per cell]  2 Zn 2.60
Pb 0.3502 0.2500 0.7057 [2 per cell]  6 Zn 3.04-3.33

Values from the calculation:
- D(E_F): 1.50 states/eV/cell
- Calculated total energy: -9.5 eV for the cell shown
- V: 24.30 Å³ per atom
- Energy relative to the elements: 0.105 eV/atom
- Crystal system: monoclinic